Entry 1:
Here is an optimized crystal structure of PaGa3I7 from Alexandria via LeMat-Bulk. Energies are from GGA-PBE.

a b c (Å): 8.0981 8.0981 8.6408
angles (deg): 110.38 110.38 73.83
Last column: nearest neighbours and their distance in Å.
Element x y z (fractional)
Pa1 0.0000 0.0000 0.0000  7 I 3.07-3.25
Ga1 0.1104 0.6702 0.4160  5 I 3.12-3.42
Ga2 0.4580 0.4580 0.0108  5 I 3.08-3.31
Ga3 0.6702 0.1104 0.4160  5 I 3.12-3.42
I1 0.0597 0.0597 0.6826  1 Pa 3.16, 2 Ga 3.21
I2 0.0761 0.6146 0.7769  1 Pa 3.07, 2 Ga 3.24-3.41
I3 0.2786 0.2786 0.1561  3 Ga 3.08-3.42, 1 Pa 3.25
I4 0.3203 0.8442 0.2708  1 Pa 3.13, 2 Ga 3.24-3.31
I5 0.6146 0.0761 0.7769  1 Pa 3.07, 2 Ga 3.24-3.41
I6 0.8003 0.8003 0.1251  2 Ga 3.12, 1 Pa 3.21
I7 0.8442 0.3203 0.2708  1 Pa 3.13, 2 Ga 3.24-3.31

Raw formation energy, eV per formula unit: -6.51
VASP energy, eV per formula unit: -35.94
Density of states at the Fermi level, states/eV/f.u.: 6.5
Space-group type: Cm, No. 8


Entry 2:
Here is an optimized crystal structure of YScMo2 from Alexandria via LeMat-Bulk. Energies are from GGA-PBE.

a b c (Å): 6.8251 6.8251 6.8251
angles (deg): 90.00 90.00 90.00
Last column: nearest neighbours and their distance in Å.
Element x y z (fractional)
Y1 0.0000 0.0000 0.0000  8 Mo 2.96
Y2 0.0000 0.5000 0.5000  8 Mo 2.96
Y3 0.5000 0.0000 0.5000  8 Mo 2.96
Y4 0.5000 0.5000 0.0000  8 Mo 2.96
Sc1 0.0000 0.0000 0.5000  8 Mo 2.96
Sc2 0.0000 0.5000 0.0000  8 Mo 2.96
Sc3 0.5000 0.0000 0.0000  8 Mo 2.96
Sc4 0.5000 0.5000 0.5000  8 Mo 2.96
Mo1 0.2500 0.2500 0.2500  4 Sc 2.96, 4 Y 2.96
Mo2 0.2500 0.2500 0.7500  4 Sc 2.96, 4 Y 2.96
Mo3 0.2500 0.7500 0.2500  4 Sc 2.96, 4 Y 2.96
Mo4 0.2500 0.7500 0.7500  4 Sc 2.96, 4 Y 2.96
Mo5 0.7500 0.2500 0.2500  4 Sc 2.96, 4 Y 2.96
Mo6 0.7500 0.2500 0.7500  4 Sc 2.96, 4 Y 2.96
Mo7 0.7500 0.7500 0.2500  4 Sc 2.96, 4 Y 2.96
Mo8 0.7500 0.7500 0.7500  4 Sc 2.96, 4 Y 2.96

VASP energy, eV per formula unit: -32.34
Density of states at the Fermi level, states/eV/f.u.: 6.9
ΔE_f, eV per atom: 0.531
Energy above the most stable polymorph in this dataset, meV per atom: 468.3
Space-group type: Fm-3m, No. 225


Entry 3:
Here is an optimized crystal structure of U3Tl3AuS8 from Alexandria via LeMat-Bulk. Energies are from GGA-PBE.

a b c (Å): 7.7659 7.7659 8.5287
angles (deg): 113.75 113.75 65.18
Last column: nearest neighbours and their distance in Å.
Element x y z (fractional)
U1 0.0000 0.0000 0.0000  6 S 2.67-2.71
U2 0.0000 0.5000 0.0000  6 S 2.62-2.77
U3 0.5000 0.0000 0.0000  6 S 2.62-2.77
Tl1 0.0000 0.5000 0.5000  6 S 3.24-3.30
Tl2 0.5000 0.0000 0.5000  6 S 3.24-3.30
Tl3 0.5000 0.5000 0.5000  6 S 3.18-3.34
Au1 0.5000 0.5000 0.0000  2 S 2.41
S1 0.1819 0.7643 0.2148  2 U 2.62-2.67
S2 0.2353 0.2353 0.1993  3 U 2.71-2.76
S3 0.2357 0.8181 0.7852  2 U 2.62-2.67
S4 0.2905 0.2905 0.8246  1 Au 2.41
S5 0.7095 0.7095 0.1754  1 Au 2.41
S6 0.7643 0.1819 0.2148  2 U 2.62-2.67
S7 0.7647 0.7647 0.8007  3 U 2.71-2.76
S8 0.8181 0.2357 0.7852  2 U 2.62-2.67

Raw formation energy, eV per formula unit: -13.48
VASP energy, eV per formula unit: -90.74
Density of states at the Fermi level, states/eV/f.u.: 11.4
Space-group type: C2/m, No. 12


Entry 4:
Here is an optimized crystal structure of CeZn6Au4 from Alexandria via LeMat-Bulk. Energies are from GGA-PBE.

a b c (Å): 7.4684 7.4684 4.2078
angles (deg): 90.00 90.00 120.00
Last column: nearest neighbours and their distance in Å.
Element x y z (fractional)
Ce1 0.0000 0.0000 0.0000  6 Au 3.28, 6 Zn 3.40
Zn1 0.2068 0.4136 0.5000  4 Au 2.60-2.67, 2 Zn 2.84
Zn2 0.2068 0.7932 0.5000  4 Au 2.60-2.67, 2 Zn 2.84
Zn3 0.5386 0.0772 0.0000  5 Au 2.66-2.72, 2 Zn 2.87
Zn4 0.5386 0.4614 0.0000  5 Au 2.66-2.72, 2 Zn 2.87
Zn5 0.5864 0.7932 0.5000  4 Au 2.60-2.67, 2 Zn 2.84
Zn6 0.9228 0.4614 0.0000  5 Au 2.66-2.72, 2 Zn 2.87
Au1 0.3333 0.6667 0.0000  9 Zn 2.66-2.67
Au2 0.3890 0.1945 0.5000  6 Zn 2.60-2.72
Au3 0.8055 0.1945 0.5000  6 Zn 2.60-2.72
Au4 0.8055 0.6110 0.5000  6 Zn 2.60-2.72

VASP energy, eV per formula unit: -30.39
Density of states at the Fermi level, states/eV/f.u.: 10.9
ΔE_f, eV per atom: -0.337
Space-group type: P-6m2, No. 187


Entry 5:
Here is an optimized crystal structure of La4Tb15Dy from Alexandria via LeMat-Bulk. Energies are from GGA-PBE.

a b c (Å): 5.1004 5.1004 25.3762
angles (deg): 90.00 90.00 90.00
Last column: nearest neighbours and their distance in Å.
Element x y z (fractional)
La1 0.0000 0.0000 0.1006  12 Tb 3.61
La2 0.0000 0.0000 0.3007  12 Tb 3.59-3.63
La3 0.0000 0.0000 0.6993  12 Tb 3.59-3.63
La4 0.0000 0.0000 0.8994  12 Tb 3.61
Tb1 0.0000 0.5000 0.0000  8 Tb 3.61, 4 La 3.61
Tb2 0.0000 0.5000 0.2011  4 La 3.59-3.61, 8 Tb 3.61
Tb3 0.0000 0.5000 0.4024  8 Tb 3.56-3.61, 2 Dy 3.56, 2 La 3.63
Tb4 0.0000 0.5000 0.5976  8 Tb 3.56-3.61, 2 Dy 3.56, 2 La 3.63
Tb5 0.0000 0.5000 0.7989  4 La 3.59-3.61, 8 Tb 3.61
Tb6 0.5000 0.0000 0.0000  8 Tb 3.61, 4 La 3.61
Tb7 0.5000 0.0000 0.2011  4 La 3.59-3.61, 8 Tb 3.61
Tb8 0.5000 0.0000 0.4024  8 Tb 3.56-3.61, 2 Dy 3.56, 2 La 3.63
Tb9 0.5000 0.0000 0.5976  8 Tb 3.56-3.61, 2 Dy 3.56, 2 La 3.63
Tb10 0.5000 0.0000 0.7989  4 La 3.59-3.61, 8 Tb 3.61
Tb11 0.5000 0.5000 0.1005  8 Tb 3.61, 4 La 3.61
Tb12 0.5000 0.5000 0.3020  8 Tb 3.60-3.61, 4 La 3.61
Tb13 0.5000 0.5000 0.5000  8 Tb 3.56, 4 Dy 3.61
Tb14 0.5000 0.5000 0.6980  8 Tb 3.60-3.61, 4 La 3.61
Tb15 0.5000 0.5000 0.8995  8 Tb 3.61, 4 La 3.61
Dy1 0.0000 0.0000 0.5000  12 Tb 3.56-3.61

VASP energy, eV per formula unit: -93.27
Density of states at the Fermi level, states/eV/f.u.: 29.7
ΔE_f, eV per atom: 0.025
Space-group type: P4/mmm, No. 123


Entry 6:
Here is an optimized crystal structure of Nd2Sn3Pd2 from Alexandria via LeMat-Bulk. Energies are from GGA-PBE.

a b c (Å): 11.0054 4.4548 7.4168
angles (deg): 90.00 113.32 90.00
Last column: nearest neighbours and their distance in Å.
Element x y z (fractional)
Nd1 0.1493 0.0000 0.2927  4 Pd 3.17-3.28, 5 Sn 3.29-3.54
Nd2 0.3507 0.5000 0.7073  4 Pd 3.17-3.28, 5 Sn 3.29-3.54
Nd3 0.6493 0.5000 0.2927  4 Pd 3.17-3.28, 5 Sn 3.29-3.54
Nd4 0.8507 0.0000 0.7073  4 Pd 3.17-3.28, 5 Sn 3.29-3.54
Sn1 0.0000 0.5000 0.5000  4 Pd 2.88, 2 Sn 3.07
Sn2 0.1186 0.5000 0.9502  3 Pd 2.74-2.84, 2 Sn 2.98-3.07
Sn3 0.3814 0.0000 0.0498  3 Pd 2.74-2.84, 2 Sn 2.98-3.07
Sn4 0.5000 0.0000 0.5000  4 Pd 2.88, 2 Sn 3.07
Sn5 0.6186 0.0000 0.9502  3 Pd 2.74-2.84, 2 Sn 2.98-3.07
Sn6 0.8814 0.5000 0.0498  3 Pd 2.74-2.84, 2 Sn 2.98-3.07
Pd1 0.1443 0.0000 0.7313  5 Sn 2.74-2.88
Pd2 0.3557 0.5000 0.2687  5 Sn 2.74-2.88
Pd3 0.6443 0.5000 0.7313  5 Sn 2.74-2.88
Pd4 0.8557 0.0000 0.2687  5 Sn 2.74-2.88

VASP energy, eV per formula unit: -37.02
Density of states at the Fermi level, states/eV/f.u.: 5.1
ΔE_f, eV per atom: -0.727
Energy above the most stable polymorph in this dataset, meV per atom: 60.9
Space-group type: C2/m, No. 12


Entry 7:
Here is an optimized crystal structure of TiZnH2Pb from Alexandria via LeMat-Bulk. Energies are from GGA-PBE.

a b c (Å): 3.9237 3.9237 5.9881
angles (deg): 90.00 90.00 90.00
Last column: nearest neighbours and their distance in Å.
Element x y z (fractional)
Ti1 0.0000 0.0000 0.0000  4 Zn 2.77, 2 Pb 2.99
Zn1 0.5000 0.5000 0.0000  4 Ti 2.77
H1 0.0000 0.5000 0.5000  2 Pb 1.96
H2 0.5000 0.0000 0.5000  2 Pb 1.96
Pb1 0.0000 0.0000 0.5000  4 H 1.96

VASP energy, eV per formula unit: -15.99
Density of states at the Fermi level, states/eV/f.u.: 3.7
Space-group type: P4/mmm, No. 123


Entry 8:
Here is an optimized crystal structure of LiYCr2P from Alexandria via LeMat-Bulk. Energies are from GGA-PBE.

a b c (Å): 4.4330 4.4330 4.4679
angles (deg): 90.00 90.00 90.00
Last column: nearest neighbours and their distance in Å.
Element x y z (fractional)
Li1 0.0000 0.0000 0.0000  2 P 2.23
Y1 0.5000 0.5000 0.0000  4 Li 3.13, 8 Cr 3.15
Cr1 0.0000 0.5000 0.5000  2 P 2.22
Cr2 0.5000 0.0000 0.5000  2 P 2.22
P1 0.0000 0.0000 0.5000  4 Cr 2.22, 2 Li 2.23

VASP energy, eV per formula unit: -32.86
Density of states at the Fermi level, states/eV/f.u.: 3.4
ΔE_f, eV per atom: 0.034
Space-group type: P4/mmm, No. 123


Number 7 is which compound?
TiZnH2Pb